[1]
8
Lattice="5.646 0.000 0.000 -2.576 5.071 0.000 -0.503 -3.056 4.879" Properties=species:S:1:pos:R:3 comment="PBE Ag2PbIO4, relaxed" formation_energy_uncorrected_kj_per_mol_atoms=-25.57 magmom_total_mub_per_atom=0.00 final_energy_ev_per_atom=-4.1142 pbc="T T T"
Ag 0.000 0.000 0.000
Ag -0.259 0.464 3.771
Pb 2.892 1.789 1.354
I -0.087 3.591 2.313
O -1.561 2.420 3.288
O -0.370 2.192 0.764
O 2.036 0.266 3.295
O 3.722 -0.354 1.088

[2]
5
Lattice="6.081 0.000 0.000 0.000 6.081 0.000 0.000 0.000 4.202" Properties=species:S:1:pos:R:3 comment="PBE AgPbI2O, relaxed" formation_energy_uncorrected_kj_per_mol_atoms=-5.94 magmom_total_mub_per_atom=0.00 final_energy_ev_per_atom=-2.9852 polymorph_energy_ev_per_fu=0.00 pbc="T T T"
Ag 0.000 0.000 0.000
Pb 3.040 3.040 2.101
I 0.000 3.040 2.101
I 3.040 0.000 2.101
O 3.040 3.040 0.000

[3]
5
Lattice="5.613 0.000 0.000 0.000 5.613 0.000 0.000 0.000 4.176" Properties=species:S:1:pos:R:3 comment="PBE AgPbI2O, relaxed" formation_energy_uncorrected_kj_per_mol_atoms=1.96 magmom_total_mub_per_atom=0.00 final_energy_ev_per_atom=-2.9033 polymorph_energy_ev_per_fu=0.41 pbc="T T T"
Ag 0.000 0.000 0.000
Pb 2.806 2.806 2.088
I 0.000 2.806 0.000
I 2.806 0.000 0.000
O 0.000 0.000 2.088

[4]
16
Lattice="3.474 -4.647 0.000 3.474 4.647 0.000 -1.640 0.000 7.510" Properties=species:S:1:pos:R:3 comment="PBE AgPbIO5, relaxed" formation_energy_uncorrected_kj_per_mol_atoms=-29.73 magmom_total_mub_per_atom=0.00 final_energy_ev_per_atom=-4.4208 pbc="T T T"
Ag 2.243 3.133 5.632
Ag 3.063 -3.133 1.877
Pb 3.474 0.000 0.000
Pb 2.653 0.000 3.755
I 3.063 3.312 1.877
I 2.243 -3.312 5.632
O -0.214 0.832 7.331
O 1.945 2.076 2.734
O 0.606 -0.832 3.576
O 2.243 0.891 5.632
O 4.182 2.076 1.021
O 1.125 -2.076 6.488
O 3.063 -0.891 1.877
O 4.700 0.832 3.934
O 3.361 -2.076 4.776
O 5.520 -0.832 0.179

[5]
10
Lattice="5.815 0.000 0.000 2.865 5.170 0.000 2.710 1.151 5.703" Properties=species:S:1:pos:R:3 comment="PBE AgPb2IO6, relaxed" formation_energy_uncorrected_kj_per_mol_atoms=-53.05 magmom_total_mub_per_atom=0.00 final_energy_ev_per_atom=-4.7065 pbc="T T T"
Ag 0.000 0.000 0.000
Pb 2.861 1.036 1.402
Pb 8.514 4.569 3.769
I 5.633 2.907 3.615
O 3.829 3.030 4.785
O 4.753 4.353 2.596
O 6.450 4.109 4.881
O 6.198 1.116 5.012
O 5.047 0.699 2.174
O 7.359 2.982 2.667

[6]
12
Lattice="3.466 -3.552 0.000 3.466 3.552 0.000 0.000 0.000 6.968" Properties=species:S:1:pos:R:3 comment="PBE AgPb2IO8, relaxed" formation_energy_uncorrected_kj_per_mol_atoms=-45.56 magmom_total_mub_per_atom=0.00 final_energy_ev_per_atom=-4.7625 pbc="T T T"
Ag 0.000 0.000 0.000
Pb 3.466 0.000 1.718
Pb 3.466 0.000 5.250
I 0.000 0.000 3.484
O 3.466 2.262 2.045
O 3.466 2.262 4.923
O 1.976 0.000 3.484
O 2.091 0.000 0.000
O 4.841 0.000 0.000
O 4.955 0.000 3.484
O 3.466 -2.262 2.045
O 3.466 -2.262 4.923

[7]
8
Lattice="5.097 0.000 0.000 -2.358 4.816 0.000 -0.501 -2.000 5.302" Properties=species:S:1:pos:R:3 comment="PBE Ag2PdIO4, relaxed" formation_energy_uncorrected_kj_per_mol_atoms=-7.33 magmom_total_mub_per_atom=0.00 final_energy_ev_per_atom=-4.1107 pbc="T T T"
Ag 0.000 0.000 0.000
Ag -0.776 0.886 4.114
Pd 2.890 2.039 0.478
I 2.386 -0.964 2.637
O -1.192 2.436 2.182
O 1.562 0.335 1.373
O 1.297 -0.350 4.088
O 0.799 2.493 3.840

[8]
28
Lattice="7.498 0.000 0.000 1.333 8.097 0.000 0.455 3.572 7.952" Properties=species:S:1:pos:R:3 comment="PBE AgPdI3O9, relaxed" formation_energy_uncorrected_kj_per_mol_atoms=-27.09 magmom_total_mub_per_atom=0.00 final_energy_ev_per_atom=-4.3749 pbc="T T T"
Ag 1.856 3.957 3.033
Ag 7.431 7.712 4.919
Pd 3.977 1.786 3.976
Pd 4.643 5.834 3.976
I 2.239 5.193 6.200
I 3.080 9.200 6.502
I 3.117 8.220 2.126
I 6.169 3.448 5.826
I 6.206 2.468 1.450
I 7.047 6.475 1.752
O 0.462 2.304 2.012
O 1.243 5.810 1.635
O 1.780 3.550 5.463
O 2.942 8.168 0.331
O 2.661 5.893 4.475
O 3.049 7.509 7.147
O 3.845 8.772 4.824
O 3.126 1.452 2.162
O 4.295 6.742 2.192
O 4.991 4.926 5.760
O 6.160 10.216 5.790
O 5.441 2.897 3.128
O 6.237 4.159 0.804
O 6.625 5.775 3.477
O 6.344 3.500 7.620
O 7.506 8.118 2.489
O 8.043 5.858 6.317
O 8.824 9.365 5.940